## i
DFT (GGA-PBE) results for crystalline TlSnAuS3 at its relaxed geometry.

abc: 7.905 7.905 10.222
angles: 90.00 90.00 28.19
Positions (direct):
Au  0.363  0.363  0.750
Tl  0.700  0.700  0.750
Tl  0.300  0.300  0.250
Sn  0.000  0.000  0.500
Au  0.637  0.637  0.250
S  0.617  0.617  0.475
S  0.383  0.383  0.525
S  0.948  0.948  0.250
S  0.383  0.383  0.975
S  0.052  0.052  0.750
S  0.617  0.617  0.025
Sn  0.000  0.000  0.000

---

## ii
DFT (GGA-PBE) results for crystalline TlSnAuS3 at its relaxed geometry.

abc: 9.284 3.893 9.642
angles: 90.00 111.83 90.00
Positions (direct):
S  0.653  0.250  0.840
Tl  0.197  0.750  0.678
S  0.195  0.250  0.432
Au  0.552  0.750  0.390
S  0.347  0.750  0.160
Sn  0.160  0.250  0.160
Tl  0.803  0.250  0.322
S  0.805  0.750  0.568
Au  0.448  0.250  0.610
S  0.052  0.250  0.873
Sn  0.840  0.750  0.840
S  0.948  0.750  0.127

---

Which structure is most stable, and how do the rest compare? From most to least stable: ii, i.

---

## i
DFT (GGA-PBE) results for crystalline SrTmAuS3 at its relaxed geometry.

abc: 6.928 6.928 10.248
angles: 90.00 90.00 33.50
Positions (direct):
Tm  0.000  0.000  0.500
Au  0.461  0.461  0.250
S  0.640  0.640  0.952
Tm  0.000  0.000  0.000
S  0.640  0.640  0.548
S  0.360  0.360  0.048
S  0.915  0.915  0.750
Sr  0.250  0.250  0.750
S  0.085  0.085  0.250
Au  0.539  0.539  0.750
Sr  0.750  0.750  0.250
S  0.360  0.360  0.452

---

## ii
DFT (GGA-PBE) results for crystalline SrTmAuS3 at its relaxed geometry.

abc: 10.950 4.002 12.445
angles: 90.00 90.00 90.00
Positions (direct):
Tm  0.668  0.000  0.989
S  0.817  0.000  0.811
Au  0.730  0.500  0.201
Sr  0.971  0.000  0.184
S  0.183  0.500  0.189
Au  0.230  0.000  0.299
Tm  0.168  0.500  0.511
S  0.683  0.000  0.311
S  0.317  0.500  0.689
S  0.957  0.500  0.387
Sr  0.029  0.500  0.816
Sr  0.471  0.500  0.316
S  0.338  0.000  0.466
Au  0.270  0.000  0.799
S  0.457  0.000  0.113
S  0.662  0.500  0.534
Au  0.770  0.500  0.701
Sr  0.529  0.000  0.684
Tm  0.332  0.500  0.011
S  0.543  0.500  0.887
Tm  0.832  0.000  0.489
S  0.162  0.000  0.966
S  0.043  0.000  0.613
S  0.838  0.500  0.034

---

Which structure is most stable, and how do the rest compare? From most to least stable: i, ii.